# BH2Pt8

A relaxed BH2Pt8 crystal (GGA-PBE, Alexandria via LeMat-Bulk).

The volume is 143 Å³/f.u. The calculation puts the size of the total moment at 0.000 μB/f.u. Its total energy is -5.627 eV/atom.

Unit cell a=4.8994 b=5.7283 c=5.7440 alpha=117.72 beta=90.80 gamma=91.00
Space group P-1 (No. 2)
Symmetry-distinct sites (fractional):
B 0.0000 0.0000 0.0000 x1
H 0.2723 0.8334 0.5415 x2
Pt 0.1419 0.1725 0.7533 x2
Pt 0.1509 0.6417 0.7330 x2
Pt 0.3555 0.0839 0.2496 x2
Pt 0.3626 0.5753 0.2354 x2